1.
VASP calculation (PBE) on PrTl2C2O6 after structural relaxation.

The value obtained for the density of states at the Fermi level is 0.1175 states/eV per atom. Its mass density is 5270 kg/m³. Its total energy is -151.14 eV per cell. The calculation puts the calculated volume at 422 Å³ per cell.

It has space group C2/m (No. 12), with a = 9.719 Å, b = 5.487 Å, c = 9.245 Å, α = 90.00°, β = 121.13° and γ = 90.00°. Symmetry generates all atoms from Pr at (0.000, 0.000, 0.000), Tl at (0.156, 0.500, 0.487), C at (0.248, 0.000, 0.823), O at (0.124, 0.000, 0.837) and O at (0.188, 0.296, 0.187).

2.
VASP calculation (PBE) on Li3Ac2MgCd12 after structural relaxation.

The value obtained for the formation energy from the elements is -0.0651 eV/atom. The value obtained for the density of states at the Fermi level is 0.5938 states/eV per atom. Its mass density is 6683 kg/m³. The calculation puts the calculated volume at 1378 Å³ per cell.

It has space group R-3m (No. 166, hexagonal axes), with a = 10.4911 Å, b = 10.4911 Å, c = 14.4524 Å, α = 90.00°, β = 90.00° and γ = 120.00°. Symmetry generates all atoms from Li at (0.0000, 0.5000, 0.0000), Ac at (0.0000, 0.0000, 0.2315), Mg at (0.0000, 0.0000, 0.5000), Cd at (0.0206, 0.5103, 0.2059) and Cd at (0.0479, 0.5240, 0.5995).